A geometry-optimized Mg2ZrRh2 structure, computed with PBE.

## Properties
- Crystal system: tetragonal
- Total magnetization: 0.00 μB/f.u.
- E above lowest polymorph: 180.7 meV/atom

Structure (CIF):
```
data_Mg2ZrRh2
_chemical_formula_sum 'Mg4 Zr2 Rh4'
_cell_length_a 7.5599
_cell_length_b 7.5599
_cell_length_c 2.9594
_cell_angle_alpha 90.00
_cell_angle_beta 90.00
_cell_angle_gamma 90.00
_space_group_name_H-M_alt 'P 4/m b m'
_space_group_IT_number 127
_space_group_name_Hall '-P 4 2ab'
loop_
_atom_site_label
_atom_site_type_symbol
_atom_site_fract_x
_atom_site_fract_y
_atom_site_fract_z
Mg1 Mg 0.1229 0.3771 0.0000
Zr1 Zr 0.0000 0.0000 0.0000
Rh1 Rh 0.1772 0.6772 0.5000
```